YMgCu after structural relaxation. Source: Alexandria via LeMat-Bulk, functional PBE. Values from VASP.

Output
As for the energy above the lowest structure with this stoichiometry: 0.119 eV per atom. The value obtained for the density of states at the Fermi level is 4.1 states/eV/cell. The value obtained for the volume is 64.6 Å³/f.u. The energy relative to the elements is -100 meV/atom.

The structure in Quantum ESPRESSO input format:
```
&SYSTEM
  ibrav = 0, nat = 6, ntyp = 3
/
ATOMIC_SPECIES
Y 88.91 Y.upf
Mg 24.30 Mg.upf
Cu 63.55 Cu.upf
ATOMIC_POSITIONS crystal
Y 0.000 0.000 0.000
Y 0.000 0.000 0.500
Mg 0.330 0.670 0.750
Mg 0.670 0.330 0.250
Cu 0.338 0.662 0.250
Cu 0.662 0.338 0.750
CELL_PARAMETERS angstrom
2.331 -4.137 0.000
2.331 4.137 0.000
0.000 0.000 6.700
```

=====

TaVNi4 after structural relaxation. Source: Alexandria via LeMat-Bulk, functional PBE. Values from VASP.

Output
As for the energy above the lowest structure with this stoichiometry: 0.235 eV per atom. The value obtained for the density of states at the Fermi level is 13.7 states/eV/cell. The value obtained for the volume is 76.8 Å³/f.u. The energy relative to the elements is 51 meV/atom.

The structure in Quantum ESPRESSO input format:
```
&SYSTEM
  ibrav = 0, nat = 12, ntyp = 3
/
ATOMIC_SPECIES
Ta 180.95 Ta.upf
V 50.94 V.upf
Ni 58.69 Ni.upf
ATOMIC_POSITIONS crystal
Ta 0.000 0.000 0.000
Ta 0.500 0.500 0.500
V 0.171 0.171 0.688
V 0.829 0.829 0.312
Ni 0.009 0.009 0.264
Ni 0.177 0.177 0.185
Ni 0.328 0.328 0.578
Ni 0.340 0.340 0.073
Ni 0.660 0.660 0.927
Ni 0.672 0.672 0.422
Ni 0.823 0.823 0.815
Ni 0.991 0.991 0.736
CELL_PARAMETERS angstrom
6.569 -1.318 0.000
6.569 1.318 0.000
-2.512 0.000 8.869
```

=====

La2Cu after structural relaxation. Source: Alexandria via LeMat-Bulk, functional PBE. Values from VASP.

Output
The value obtained for the density of states at the Fermi level is 12.6 states/eV/cell. The value obtained for the volume is 85.6 Å³/f.u. The energy relative to the elements is 393 meV/atom.

The structure in Quantum ESPRESSO input format:
```
&SYSTEM
  ibrav = 0, nat = 12, ntyp = 2
/
ATOMIC_SPECIES
La 138.91 La.upf
Cu 63.55 Cu.upf
ATOMIC_POSITIONS crystal
La 0.000 0.000 0.000
La 0.000 0.000 0.500
La 0.186 0.373 0.250
La 0.186 0.814 0.250
La 0.373 0.186 0.750
La 0.627 0.814 0.250
La 0.814 0.186 0.750
La 0.814 0.627 0.750
Cu 0.333 0.667 0.583
Cu 0.333 0.667 0.917
Cu 0.667 0.333 0.083
Cu 0.667 0.333 0.417
CELL_PARAMETERS angstrom
7.344 0.000 0.000
-3.672 6.360 0.000
0.000 0.000 7.332
```